No. 1
A plane-wave DFT calculation with PBE was carried out for a relaxed structure of NiBiIrPd.

```
NiBiIrPd
1.0
0.0000 3.2089 3.2089
3.2089 0.0000 3.2089
3.2089 3.2089 0.0000
Ni Bi Ir Pd
1 1 1 1
direct
0.0000 0.0000 0.0000
0.7500 0.7500 0.7500
0.2500 0.2500 0.2500
0.5000 0.5000 0.5000
```

Computed properties:
As for the calculated density: 14.23 g cm⁻³. The value obtained for the energy is -5.6269 eV/atom.

---

No. 2
A plane-wave DFT calculation with PBE was carried out for a relaxed structure of Nb2BW.

```
Nb2BW
1.0
0.0000 3.0998 3.0998
3.0998 0.0000 3.0998
3.0998 3.0998 0.0000
Nb B W
2 1 1
direct
0.0000 0.0000 0.0000
0.2500 0.2500 0.2500
0.5000 0.5000 0.5000
0.7500 0.7500 0.7500
```

Computed properties:
As for the calculated density: 10.61 g cm⁻³. The value obtained for the energy is -9.4038 eV/atom.

---

- Which formula does entry 2 have?
  Nb2BW

---

- Which formula does entry 1 have?
  NiBiIrPd

---

- The lowest energy belongs to which entry?
  Nb2BW